Record 1
ScAsIr2: PBEsol geometry, meta-GGA SCAN.

abc: 4.4635 4.4635 4.4635
angles: 60.00 60.00 60.00
Positions (direct):
Ir 0.2500 0.2500 0.2500
Ir 0.0000 0.0000 0.0000
As 0.5000 0.5000 0.5000
Sc 0.7500 0.7500 0.7500

Computed properties:
DOS at the Fermi energy   1.527 states/eV per atom
Crystal system   cubic
Space-group type   F-43m, No. 216
Spin magnetization   0.0005 μB/atom
Energy of formation from the pure elements   -4.146 kcal/mol of atoms

Record 2
Sc2AsIr: PBEsol geometry, meta-GGA SCAN.

abc: 3.5465 3.9903 5.6116
angles: 110.83 108.42 90.00
Positions (direct):
Ir 0.2389 0.2389 0.4777
Sc 0.9825 0.4825 0.9650
Sc 0.7500 0.7500 0.5000
As 0.5287 0.0287 0.0573

Computed properties:
DOS at the Fermi energy   0.428 states/eV per atom
Polymorph energy (0 for the lowest one)   0.0 meV/atom
Crystal system   orthorhombic
Space-group type   Imm2, No. 44
Spin magnetization   0.0000 μB/atom
Energy of formation from the pure elements   -22.525 kcal/mol of atoms

Record 3
Sc3AsIr: PBEsol geometry, meta-GGA SCAN.

abc: 4.9322 4.9322 4.9322
angles: 90.00 90.00 90.00
Positions (direct):
Sc 0.5000 0.0000 0.0000
Sc 0.0000 0.0000 0.5000
Sc 0.0000 0.5000 0.0000
Ir 0.0000 0.0000 0.0000
As 0.5000 0.5000 0.5000

Computed properties:
DOS at the Fermi energy   1.295 states/eV per atom
Crystal system   cubic
Space-group type   Pm-3m, No. 221
Spin magnetization   0.0001 μB/atom
Energy of formation from the pure elements   -11.023 kcal/mol of atoms

Record 4
Ti2AsIrSe: PBEsol geometry, meta-GGA SCAN.

abc: 4.4367 4.9135 4.9135
angles: 90.00 90.00 90.00
Each line ends with the local moment (μB).
Positions (direct):
Ir 0.0000 0.0000 0.0000  -0.07
Ti 0.0000 0.5000 0.0000  1.11
Ti 0.0000 0.0000 0.5000  1.11
Se 0.5000 0.5000 0.5000  -0.08
As 0.5000 0.0000 0.0000  -0.06

Computed properties:
DOS at the Fermi energy   0.385 states/eV per atom
Crystal system   tetragonal
Space-group type   P4/mmm, No. 123
E_tot   -1.055 Ha/atom
Spin magnetization   0.4783 μB/atom

Record 5
As2IrWSe: PBEsol geometry, meta-GGA SCAN.

abc: 4.6924 4.7749 4.7749
angles: 90.00 90.00 90.00
Positions (direct):
As 0.0000 0.0000 0.5000
As 0.0000 0.5000 0.0000
Ir 0.5000 0.5000 0.5000
W 0.0000 0.0000 0.0000
Se 0.5000 0.0000 0.0000

Computed properties:
DOS at the Fermi energy   0.733 states/eV per atom
Crystal system   tetragonal
Space-group type   P4/mmm, No. 123
E_tot   -1.429 Ha/atom
Spin magnetization   0.0001 μB/atom

Record 6
SiAs2Ir: PBEsol geometry, meta-GGA SCAN.

abc: 4.1719 4.6212 4.1719
angles: 63.17 90.00 116.83
Positions (direct):
As 0.2500 0.5000 0.2500
As 0.0000 0.0000 0.0000
Si 0.7500 0.5000 0.7500
Ir 0.5000 0.0000 0.5000

Computed properties:
DOS at the Fermi energy   0.274 states/eV per atom
Crystal system   tetragonal
Space-group type   I-4m2, No. 119
E_tot   -1.103 Ha/atom
Spin magnetization   0.0000 μB/atom

Record 7
Si3AsIr: PBEsol geometry, meta-GGA SCAN.

abc: 4.5951 4.5951 4.5951
angles: 90.00 90.00 90.00
Positions (direct):
As 0.5000 0.5000 0.5000
Si 0.5000 0.0000 0.0000
Si 0.0000 0.5000 0.0000
Si 0.0000 0.0000 0.5000
Ir 0.0000 0.0000 0.0000

Computed properties:
DOS at the Fermi energy   0.306 states/eV per atom
Crystal system   cubic
Space-group type   Pm-3m, No. 221
E_tot   -0.877 Ha/atom
Spin magnetization   0.0000 μB/atom

Record 8
SiAsIr2: PBEsol geometry, meta-GGA SCAN.

abc: 3.5782 4.2132 4.7047
angles: 104.84 90.00 115.13
Positions (direct):
As 0.7418 0.4835 0.2312
Ir 0.2269 0.4537 0.5993
Ir 0.9929 0.9857 0.9934
Si 0.5385 0.0770 0.6761

Computed properties:
DOS at the Fermi energy   0.256 states/eV per atom
Polymorph energy (0 for the lowest one)   0.0 meV/atom
Crystal system   monoclinic
Space-group type   Cm, No. 8
Spin magnetization   0.0000 μB/atom

Record 9
SiAsIr2: PBEsol geometry, meta-GGA SCAN.

abc: 2.8805 2.8805 8.0534
angles: 79.70 79.70 60.00
Positions (direct):
As 0.0000 0.0000 0.0000
Ir 0.2437 0.2437 0.2688
Ir 0.7563 0.7563 0.7312
Si 0.5000 0.5000 0.5000

Computed properties:
DOS at the Fermi energy   0.376 states/eV per atom
Polymorph energy (0 for the lowest one)   58.8 meV/atom
Crystal system   trigonal
Space-group type   R-3m, No. 166
Spin magnetization   0.0000 μB/atom

Record 10
SiAsIr2: PBEsol geometry, meta-GGA SCAN.

abc: 4.0807 4.4459 4.0807
angles: 62.68 90.00 117.32
Positions (direct):
Ir 0.7500 0.5000 0.7500
Ir 0.2500 0.5000 0.2500
As 0.0000 0.0000 0.0000
Si 0.5000 0.0000 0.5000

Computed properties:
DOS at the Fermi energy   0.584 states/eV per atom
Polymorph energy (0 for the lowest one)   317.1 meV/atom
Crystal system   tetragonal
Space-group type   I4/mmm, No. 139
Spin magnetization   0.0000 μB/atom

Record 11
SiAsIr: PBEsol geometry, meta-GGA SCAN.

abc: 4.1064 4.1064 4.1064
angles: 60.00 60.00 60.00
Positions (direct):
Si 0.7500 0.7500 0.7500
As 0.0000 0.0000 0.0000
Ir 0.5000 0.5000 0.5000

Computed properties:
DOS at the Fermi energy   0.571 states/eV per atom
Polymorph energy (0 for the lowest one)   0.0 meV/atom
Crystal system   cubic
Space-group type   F-43m, No. 216
Spin magnetization   0.0000 μB/atom

Record 12
SrAs2Ir: PBEsol geometry, meta-GGA SCAN.

abc: 4.8059 4.8059 4.8059
angles: 60.00 60.00 60.00
Positions (direct):
As 0.7500 0.7500 0.7500
As 0.0000 0.0000 0.0000
Sr 0.2500 0.2500 0.2500
Ir 0.5000 0.5000 0.5000

Computed properties:
DOS at the Fermi energy   0.791 states/eV per atom
Crystal system   cubic
Space-group type   F-43m, No. 216
Spin magnetization   0.0001 μB/atom
Energy of formation from the pure elements   6.102 kcal/mol of atoms